[1]
A relaxed structure of Ce2Ho5Sn4, computed with GGA-PBE.

Summary:
Magnetic moment (μB per formula unit): 3.022
Calculated formation energy (kcal/mol of atoms): -4.66
E (eV/cell): -52.99

a = 3.440 Å, b = 7.458 Å, c = 13.213 Å
α = 89.15°, β = 97.48°, γ = 90.00°
Element x y z (fractional)
Ho1 0.138 0.839 0.276
Sn1 0.969 0.337 0.939
Sn2 0.031 0.663 0.061
Ho2 0.236 0.206 0.472
Ho3 0.862 0.161 0.724
Ce1 0.906 0.711 0.811
Ce2 0.094 0.289 0.189
Ho4 0.500 0.000 0.000
Sn3 0.678 0.508 0.355
Ho5 0.764 0.794 0.528
Sn4 0.322 0.492 0.645



[2]
A relaxed structure of Ce5HoSn3, computed with GGA-PBE.

Summary:
Magnetic moment (μB per formula unit): 7.623
Calculated formation energy (kcal/mol of atoms): -10.84
E (eV/cell): -100.97

a = 6.629 Å, b = 9.462 Å, c = 9.461 Å
α = 120.00°, β = 90.00°, γ = 90.00°
Element x y z (fractional)
Ce1 0.000 0.333 0.667
Sn1 0.750 0.000 0.675
Ho1 0.000 0.000 0.000
Ce2 0.250 0.659 0.000
Ce3 0.250 0.000 0.659
Ce4 0.500 0.333 0.667
Ce5 0.000 0.667 0.333
Ce6 0.750 0.000 0.341
Ce7 0.750 0.341 0.000
Sn2 0.250 0.000 0.325
Ce8 0.750 0.659 0.659
Ce9 0.500 0.667 0.333
Sn3 0.250 0.325 0.000
Ho2 0.500 0.000 0.000
Sn4 0.250 0.675 0.675
Ce10 0.250 0.341 0.341
Sn5 0.750 0.325 0.325
Sn6 0.750 0.675 0.000



[3]
A relaxed structure of Ce3HoSn3, computed with GGA-PBE.

Summary:
Magnetic moment (μB per formula unit): 3.255
Calculated formation energy (kcal/mol of atoms): -8.51
E (eV/cell): -73.94

a = 7.421 Å, b = 7.421 Å, c = 8.648 Å
α = 90.77°, β = 90.77°, γ = 118.00°
Element x y z (fractional)
Ce1 0.806 0.194 0.500
Ho1 0.297 0.297 0.956
Sn1 0.795 0.509 0.748
Sn2 0.205 0.491 0.252
Ce2 0.208 0.792 0.000
Sn3 0.972 0.972 0.746
Ho2 0.703 0.703 0.044
Ce3 0.194 0.806 0.500
Sn4 0.509 0.795 0.748
Sn5 0.491 0.205 0.252
Ce4 0.792 0.208 0.000
Ce5 0.343 0.343 0.564
Sn6 0.028 0.028 0.254
Ce6 0.657 0.657 0.436



[4]
A relaxed structure of Ce4Ho3Sn4, computed with GGA-PBE.

Summary:
Magnetic moment (μB per formula unit): 0.000
Calculated formation energy (kcal/mol of atoms): -8.74
E (eV/cell): -57.65

a = 3.893 Å, b = 10.488 Å, c = 9.697 Å
α = 122.74°, β = 101.58°, γ = 90.00°
Element x y z (fractional)
Ce1 0.308 0.078 0.615
Ce2 0.692 0.922 0.385
Sn1 0.221 0.721 0.442
Ho1 0.113 0.113 0.227
Sn2 0.500 0.207 0.000
Ho2 0.000 0.500 0.000
Ce3 0.692 0.462 0.385
Ce4 0.308 0.538 0.615
Sn3 0.500 0.793 0.000
Ho3 0.887 0.887 0.773
Sn4 0.779 0.279 0.558



[5]
A relaxed structure of Ce2HoSn2, computed with GGA-PBE.

Summary:
Magnetic moment (μB per formula unit): 2.956
Calculated formation energy (kcal/mol of atoms): -7.81
E (eV/cell): -26.14
Energy relative to the lowest polymorph listed for this composition (kJ/mol of atoms): 21.1

a = 5.104 Å, b = 4.023 Å, c = 8.249 Å
α = 90.00°, β = 108.02°, γ = 90.00°
Element x y z (fractional)
Ho1 0.000 0.000 0.000
Sn1 0.150 0.500 0.300
Sn2 0.850 0.500 0.700
Ce1 0.677 0.000 0.355
Ce2 0.323 0.000 0.645



[6]
A relaxed structure of CeHoSn2, computed with GGA-PBE.

Summary:
Magnetic moment (μB per formula unit): 0.636
Calculated formation energy (kcal/mol of atoms): -13.95
E (eV/cell): -20.94

a = 4.450 Å, b = 4.917 Å, c = 4.917 Å
α = 90.00°, β = 90.00°, γ = 90.00°
Element x y z (fractional)
Sn1 0.000 0.500 0.000
Sn2 0.000 0.000 0.500
Ce1 0.500 0.000 0.000
Ho1 0.500 0.500 0.500



Question: Number 6 is which compound?
Answer: CeHoSn2



Question: What is the calculated formation energy in the sixth record?
Answer: -13.95 kcal/mol of atoms